[1]
Entry from the Alexandria database: a relaxed structure of Ni2Ru3 (GGA-PBE).

Its formation energy is 0.55 eV per atom.

The structure belongs to space group P-3m1 (No. 164); the cell edges are 4.0049, 4.0049 and 5.0148 Å and the angles 90.00°, 90.00° and 120.00°. Symmetry generates all atoms from Ni at (0.3333, 0.6667, 0.3700), Ru at (0.0000, 0.0000, 0.5000) and Ru at (0.3333, 0.6667, 0.8833).


[2]
Entry from the Alexandria database: a relaxed structure of NiRu4 (GGA-PBE).

Its formation energy is 0.70 eV per atom.

The structure belongs to space group I4/mmm (No. 139); the cell edges are 3.595, 3.595 and 11.919 Å and the angles 90.00°, 90.00° and 90.00°. Symmetry generates all atoms from Ni at (0.000, 0.000, 0.000), Ru at (0.000, 0.000, 0.402) and Ru at (0.000, 0.500, 0.250).


[3]
Entry from the Alexandria database: a relaxed structure of Ni3Ru (GGA-PBE).

Its formation energy is 0.12 eV per atom.

The structure belongs to space group Cmmm (No. 65); the cell edges are 5.089, 7.301 and 2.539 Å and the angles 90.00°, 90.00° and 90.00°. Symmetry generates all atoms from Ni at (0.000, 0.000, 0.000), Ni at (0.250, 0.250, 0.500) and Ru at (0.000, 0.500, 0.000).


[4]
Entry from the Alexandria database: a relaxed structure of Ni2Ru (GGA-PBE).

Its formation energy is 0.12 eV per atom.

The structure belongs to space group Cm (No. 8); the cell edges are 9.334, 2.629 and 6.058 Å and the angles 90.00°, 103.77° and 90.00°. Symmetry generates all atoms from Ni at (0.000, 0.000, 0.000), Ni at (0.055, 0.000, 0.614), Ni at (0.167, 0.500, 0.342), Ni at (0.334, 0.000, 0.672), Ru at (0.222, 0.500, 0.945) and Ru at (0.386, 0.000, 0.282).


[5]
Entry from the Alexandria database: a relaxed structure of Ni3Ru (GGA-PBE).

Its formation energy is 0.12 eV per atom.

The structure belongs to space group P-6m2 (No. 187); the cell edges are 2.5959, 2.5959 and 8.1299 Å and the angles 90.00°, 90.00° and 120.00°. Symmetry generates all atoms from Ni at (0.0000, 0.0000, 0.0000), Ni at (0.6667, 0.3333, 0.2451) and Ru at (0.0000, 0.0000, 0.5000).


[6]
Entry from the Alexandria database: a relaxed structure of NiRu (GGA-PBE).

Its formation energy is 0.12 eV per atom.

The structure belongs to space group C2/m (No. 12); the cell edges are 9.480, 2.675 and 4.467 Å and the angles 90.00°, 117.99° and 90.00°. Symmetry generates all atoms from Ni at (0.128, 0.000, 0.457) and Ru at (0.123, 0.500, 0.945).